# Sc2MoAsRh

Crystalline Sc2MoAsRh at its relaxed geometry (PBE, the Alexandria database).

Properties
Formation energy from the elements   0.334 eV/atom
DOS(E_F)   5.902 states/eV/f.u.

Unit cell a=4.911 b=4.911 c=4.583 alpha=90.00 beta=90.00 gamma=90.00
Space group P4/mmm (No. 123)
Asymmetric unit:
1 Sc 0.000 0.500 0.000
2 Mo 0.000 0.000 0.500
3 As 0.000 0.000 0.000
4 Rh 0.500 0.500 0.500

---

# MoAsRhSe2

Crystalline MoAsRhSe2 at its relaxed geometry (PBE, the Alexandria database).

Properties
Formation energy (no corrections)   0.759 eV per atom
DOS(E_F)   4.750 states/eV/f.u.
Distance to the lowest polymorph of the same formula   0.00 eV per formula unit

Unit cell a=4.835 b=4.835 c=4.875 alpha=90.00 beta=90.00 gamma=90.00
Space group P4/mmm (No. 123)
Asymmetric unit:
1 Mo 0.000 0.000 0.000
2 As 0.000 0.000 0.500
3 Rh 0.500 0.500 0.500
4 Se 0.000 0.500 0.000

---

# MoAsRhSe2

Crystalline MoAsRhSe2 at its relaxed geometry (PBE, the Alexandria database).

Properties
Formation energy (no corrections)   0.821 eV per atom
DOS(E_F)   2.779 states/eV/f.u.
Distance to the lowest polymorph of the same formula   0.31 eV per formula unit

Unit cell a=5.009 b=5.009 c=4.538 alpha=90.00 beta=90.00 gamma=90.00
Space group P4/mmm (No. 123)
Asymmetric unit:
1 Mo 0.000 0.000 0.000
2 As 0.500 0.500 0.000
3 Rh 0.500 0.500 0.500
4 Se 0.000 0.500 0.500

---

# TiMo2AsRh

Crystalline TiMo2AsRh at its relaxed geometry (PBE, the Alexandria database).

Properties
Formation energy from the elements   0.688 eV/atom
DOS(E_F)   3.881 states/eV/f.u.

Unit cell a=4.606 b=4.606 c=4.448 alpha=90.00 beta=90.00 gamma=90.00
Space group P4/mmm (No. 123)
Asymmetric unit:
1 Ti 0.000 0.000 0.000
2 Mo 0.000 0.500 0.500
3 As 0.500 0.500 0.500
4 Rh 0.500 0.500 0.000